NiTe2S2 | PBE-GGA | relaxed

Values from the calculation:
The calculated total energy comes out at -3.36 eV per atom. The formation energy without anion corrections comes out at 0.71 eV per atom. Its polymorph energy (0 for the lowest one) is 589.3 meV/atom. Its crystal system is tetragonal.

CIF file:
```
data_NiTe2S2
_cell_length_a 4.008
_cell_length_b 4.008
_cell_length_c 18.868
_cell_angle_alpha 90.00
_cell_angle_beta 90.00
_cell_angle_gamma 90.00
_space_group_name_H-M_alt 'I 4/m m m'
_space_group_IT_number 139
_space_group_name_Hall '-I 4 2'
loop_
_atom_site_label
_atom_site_fract_x
_atom_site_fract_y
_atom_site_fract_z
Ni1 0.000 0.000 0.000
Te1 0.000 0.500 0.250
S1 0.000 0.000 0.446
```

=====

NiTe3S | PBE-GGA | relaxed

Values from the calculation:
The calculated total energy comes out at -2.91 eV per atom. The formation energy without anion corrections comes out at 0.96 eV per atom. Its polymorph energy (0 for the lowest one) is 416.9 meV/atom. Its crystal system is cubic.

CIF file:
```
data_NiTe3S
_cell_length_a 5.168
_cell_length_b 5.168
_cell_length_c 5.168
_cell_angle_alpha 90.00
_cell_angle_beta 90.00
_cell_angle_gamma 90.00
_space_group_name_H-M_alt 'P m -3 m'
_space_group_IT_number 221
_space_group_name_Hall '-P 4 2 3'
loop_
_atom_site_label
_atom_site_fract_x
_atom_site_fract_y
_atom_site_fract_z
Ni1 0.000 0.000 0.000
Te1 0.000 0.500 0.500
S1 0.500 0.500 0.500
```

=====

Ni2TeS | PBE-GGA | relaxed

Values from the calculation:
The calculated total energy comes out at -4.46 eV per atom. The formation energy without anion corrections comes out at 0.25 eV per atom. Its polymorph energy (0 for the lowest one) is 494.0 meV/atom. Its crystal system is cubic.

CIF file:
```
data_Ni2TeS
_cell_length_a 6.259
_cell_length_b 6.259
_cell_length_c 6.259
_cell_angle_alpha 90.00
_cell_angle_beta 90.00
_cell_angle_gamma 90.00
_space_group_name_H-M_alt 'F m -3 m'
_space_group_IT_number 225
_space_group_name_Hall '-F 4 2 3'
loop_
_atom_site_label
_atom_site_fract_x
_atom_site_fract_y
_atom_site_fract_z
Ni1 0.250 0.250 0.250
Te1 0.000 0.000 0.000
S1 0.000 0.000 0.500
```